1.
Here is crystalline PmAsPb at its relaxed geometry from Alexandria via LeMat-Bulk. Energies are from PBE.

Spin magnetization = 0.000 Bohr magnetons per cell
Electronic total energy = -4.9887 eV/atom
ΔE to the lowest computed polymorph = 1 meV per atom
Energy relative to the elements = -59.74 kJ per mole of atoms

Cell: 4.0493 4.0493 11.3131 Å, 90.00 90.00 90.00°
Closest atoms and distances in Å follow each position.
Space group I4mm (No. 107)
One atom of each set of equivalent atoms:
Pm (0.0000, 0.0000, 0.0000) (multiplicity 2)  4 As 2.92
As (0.0000, 0.0000, 0.4484) (multiplicity 2)  1 Pb 2.85, 4 Pm 2.92
Pb (0.0000, 0.0000, 0.7001) (multiplicity 2)  1 As 2.85

---

2.
Here is crystalline Dy5Y3Ho4 at its relaxed geometry from Alexandria via LeMat-Bulk. Energies are from PBE.

Spin magnetization = 0.000 Bohr magnetons per cell
Electronic total energy = -5.0387 eV/atom
ΔE to the lowest computed polymorph = 0 meV per atom
Energy relative to the elements = 2.00 kJ per mole of atoms

Cell: 6.1354 7.0910 8.6713 Å, 90.01 90.08 90.11°
Closest atoms and distances in Å follow each position.
Space group P-1 (No. 2)
One atom of each set of equivalent atoms:
Dy (0.0000, 0.0000, 0.0000) (multiplicity 1)  4 Ho 3.53-3.55, 4 Dy 3.54, 4 Y 3.55
Dy (0.3346, 0.4999, 0.3331) (multiplicity 2)  3 Dy 3.53-3.54, 5 Ho 3.54-3.55, 4 Y 3.54-3.55
Dy (0.4988, 0.7510, 0.9995) (multiplicity 2)  3 Ho 3.53-3.54, 6 Dy 3.53-3.56, 3 Y 3.54-3.56
Y (0.0000, 0.5000, 0.0000) (multiplicity 1)  8 Dy 3.54-3.56, 2 Ho 3.55, 2 Y 3.56
Y (0.1663, 0.2493, 0.6653) (multiplicity 2)  6 Ho 3.53-3.55, 5 Dy 3.54-3.56, 1 Y 3.56
Ho (0.1676, 0.7503, 0.6660) (multiplicity 2)  4 Y 3.53-3.55, 3 Ho 3.53-3.55, 5 Dy 3.53-3.55
Ho (0.3337, 0.0006, 0.3325) (multiplicity 2)  5 Dy 3.53-3.55, 4 Ho 3.53-3.55, 3 Y 3.54-3.55

---

3.
Here is crystalline Ru2PtBr at its relaxed geometry from Alexandria via LeMat-Bulk. Energies are from PBE.

Spin magnetization = 0.005 Bohr magnetons per cell
Electronic total energy = -5.7399 eV/atom
Formation energy without anion corrections = 319.0 kJ/mol of formula units
ΔE to the lowest computed polymorph = 385 meV per atom

Cell: 2.7951 5.0071 9.2122 Å, 90.00 90.00 90.00°
Closest atoms and distances in Å follow each position.
Space group Cmmm (No. 65)
One atom of each set of equivalent atoms:
Ru (0.0000, 0.0000, 0.2493) (multiplicity 4)  2 Br 2.69, 2 Pt 2.70, 6 Ru 2.80-2.87
Pt (0.0000, 0.5000, 0.5000) (multiplicity 2)  4 Ru 2.70, 6 Pt 2.80-2.87
Br (0.0000, 0.5000, 0.0000) (multiplicity 2)  4 Ru 2.69, 6 Br 2.80-2.87

---

4.
Here is crystalline BaHfBiMo2 at its relaxed geometry from Alexandria via LeMat-Bulk. Energies are from PBE.

Spin magnetization = 0.000 Bohr magnetons per cell
Electronic total energy = -5.0441 eV/atom
Energy relative to the elements = 235.40 kJ per mole of atoms

Cell: 5.0158 5.0158 5.3570 Å, 90.00 90.00 90.00°
Closest atoms and distances in Å follow each position.
Space group P4/mmm (No. 123)
One atom of each set of equivalent atoms:
Ba (0.0000, 0.0000, 0.0000) (multiplicity 1)  4 Mo 2.51, 2 Hf 2.68
Hf (0.0000, 0.0000, 0.5000) (multiplicity 1)  2 Ba 2.68
Bi (0.5000, 0.5000, 0.5000) (multiplicity 1)  4 Hf 3.55, 8 Mo 3.67
Mo (0.0000, 0.5000, 0.0000) (multiplicity 2)  2 Ba 2.51

---

5.
Here is crystalline Ta4CoSi at its relaxed geometry from Alexandria via LeMat-Bulk. Energies are from PBE.

Spin magnetization = 4.374 Bohr magnetons per cell
Electronic total energy = -9.2984 eV/atom
Formation energy without anion corrections = 400.3 kJ/mol of formula units

Cell: 7.5614 7.5614 7.5614 Å, 90.00 90.00 90.00°
Closest atoms and distances in Å follow each position.
Space group F-43m (No. 216)
One atom of each set of equivalent atoms:
Ta (0.1253, 0.1253, 0.1253) (multiplicity 16)  6 Ta 2.67-2.68
Co (0.2500, 0.2500, 0.7500) (multiplicity 4)  12 Ta 3.14, 4 Si 3.27
Si (0.0000, 0.0000, 0.5000) (multiplicity 4)  12 Ta 3.13, 4 Co 3.27

---

6.
Here is crystalline Pm5Cu4Ge at its relaxed geometry from Alexandria via LeMat-Bulk. Energies are from PBE.

Spin magnetization = 0.000 Bohr magnetons per cell
Electronic total energy = -4.7336 eV/atom
Energy relative to the elements = -24.91 kJ per mole of atoms

Cell: 3.5631 3.5631 18.1276 Å, 90.00 90.00 90.00°
Closest atoms and distances in Å follow each position.
Space group P4/mmm (No. 123)
One atom of each set of equivalent atoms:
Pm (0.0000, 0.0000, 0.0000) (multiplicity 1)  8 Cu 3.09
Pm (0.0000, 0.0000, 0.1973) (multiplicity 2)  8 Cu 3.04-3.09
Pm (0.0000, 0.0000, 0.3969) (multiplicity 2)  4 Ge 3.14, 4 Cu 3.17
Cu (0.5000, 0.5000, 0.0988) (multiplicity 2)  8 Pm 3.09
Cu (0.5000, 0.5000, 0.2908) (multiplicity 2)  8 Pm 3.04-3.17
Ge (0.5000, 0.5000, 0.5000) (multiplicity 1)  8 Pm 3.14

---

7.
Here is crystalline BaYP2Pt4 at its relaxed geometry from Alexandria via LeMat-Bulk. Energies are from PBE.

Spin magnetization = 0.000 Bohr magnetons per cell
Electronic total energy = -6.3051 eV/atom
Energy relative to the elements = -85.28 kJ per mole of atoms

Cell: 4.0986 4.0986 10.3454 Å, 90.00 90.00 90.00°
Closest atoms and distances in Å follow each position.
Space group P4/mmm (No. 123)
One atom of each set of equivalent atoms:
Ba (0.0000, 0.0000, 0.0000) (multiplicity 1)  8 P 3.45, 8 Pt 3.67
Y (0.0000, 0.0000, 0.5000) (multiplicity 1)  8 Pt 2.96
P (0.5000, 0.5000, 0.1813) (multiplicity 2)  4 Pt 2.36
Pt (0.0000, 0.5000, 0.2940) (multiplicity 4)  2 P 2.36

---

8.
Here is crystalline SrMg4Os at its relaxed geometry from Alexandria via LeMat-Bulk. Energies are from PBE.

Spin magnetization = 0.896 Bohr magnetons per cell
Electronic total energy = -2.7811 eV/atom
Energy relative to the elements = 41.87 kJ per mole of atoms

Cell: 8.0721 8.0721 8.0721 Å, 90.00 90.00 90.00°
Closest atoms and distances in Å follow each position.
Space group F-43m (No. 216)
One atom of each set of equivalent atoms:
Sr (0.0000, 0.0000, 0.0000) (multiplicity 4)  12 Mg 3.35, 4 Os 3.50
Mg (0.1231, 0.1231, 0.6231) (multiplicity 16)  6 Mg 2.81-2.90
Os (0.2500, 0.2500, 0.2500) (multiplicity 4)  12 Mg 3.34, 4 Sr 3.50

---

9.
Here is crystalline Sm6In5Ag at its relaxed geometry from Alexandria via LeMat-Bulk. Energies are from PBE.

Spin magnetization = 0.000 Bohr magnetons per cell
Electronic total energy = -4.0076 eV/atom
ΔE to the lowest computed polymorph = 179 meV per atom
Energy relative to the elements = -25.99 kJ per mole of atoms

Cell: 6.5299 11.4902 9.8590 Å, 90.00 103.82 90.00°
Closest atoms and distances in Å follow each position.
Space group C2/m (No. 12)
One atom of each set of equivalent atoms:
Sm (0.2280, 0.1656, 0.2324) (multiplicity 8)  1 Ag 3.08, 5 In 3.23-3.39
Sm (0.2290, 0.0000, 0.7255) (multiplicity 4)  5 In 3.15-3.26, 1 Ag 3.39
In (0.0000, 0.1957, 0.5000) (multiplicity 4)  6 Sm 3.23-3.34, 3 In 3.50
In (0.0000, 0.3639, 0.0000) (multiplicity 4)  1 In 3.13, 6 Sm 3.23-3.32
In (0.0000, 0.5000, 0.5000) (multiplicity 2)  6 Sm 3.15-3.39, 2 In 3.50
Ag (0.0000, 0.0000, 0.0000) (multiplicity 2)  6 Sm 3.08-3.39

---

10.
Here is crystalline Cr5Au4 at its relaxed geometry from Alexandria via LeMat-Bulk. Energies are from PBE.

Spin magnetization = 0.000 Bohr magnetons per cell
Electronic total energy = -6.5129 eV/atom
Energy relative to the elements = 27.98 kJ per mole of atoms

Cell: 8.2252 8.2252 3.9124 Å, 90.00 90.00 90.00°
Closest atoms and distances in Å follow each position.
Space group I4/mmm (No. 139)
One atom of each set of equivalent atoms:
Cr (0.0000, 0.0000, 0.0000) (multiplicity 2)  8 Cr 2.55, 4 Au 2.64
Cr (0.1410, 0.1410, 0.5000) (multiplicity 8)  4 Cr 2.32-2.55
Au (0.0000, 0.3209, 0.0000) (multiplicity 8)  5 Cr 2.64-2.71, 5 Au 2.86-2.95

---

11.
Here is crystalline Nd4ZnNi3 at its relaxed geometry from Alexandria via LeMat-Bulk. Energies are from PBE.

Spin magnetization = 0.000 Bohr magnetons per cell
Electronic total energy = -5.0139 eV/atom
Energy relative to the elements = -29.21 kJ per mole of atoms

Cell: 3.8820 4.4172 10.7322 Å, 90.00 90.00 90.00°
Closest atoms and distances in Å follow each position.
Space group Pmm2 (No. 25)
One atom of each set of equivalent atoms:
Nd (0.0000, 0.0000, 0.0000) (multiplicity 1)  6 Ni 2.90-3.02
Nd (0.0000, 0.5000, 0.2642) (multiplicity 1)  7 Ni 2.88-3.21
Nd (0.5000, 0.0000, 0.4784) (multiplicity 1)  5 Ni 2.98-3.08, 2 Zn 3.02
Nd (0.5000, 0.5000, 0.7720) (multiplicity 1)  3 Ni 2.96-3.15, 4 Zn 3.06
Zn (0.0000, 0.0000, 0.6946) (multiplicity 1)  2 Ni 2.62
Ni (0.0000, 0.5000, 0.5636) (multiplicity 1)  2 Zn 2.62
Ni (0.5000, 0.0000, 0.2004) (multiplicity 1)  2 Ni 2.64, 2 Nd 2.90
Ni (0.5000, 0.5000, 0.0657) (multiplicity 1)  2 Ni 2.64, 2 Nd 2.88

---

12.
Here is crystalline Sc2BeCu at its relaxed geometry from Alexandria via LeMat-Bulk. Energies are from PBE.

Spin magnetization = 0.003 Bohr magnetons per cell
Electronic total energy = -4.9294 eV/atom
Energy relative to the elements = 18.52 kJ per mole of atoms

Cell: 3.2052 3.2052 24.4866 Å, 90.00 90.00 120.00°
Closest atoms and distances in Å follow each position.
Space group R-3m (No. 166, hexagonal axes)
One atom of each set of equivalent atoms:
Sc (0.0000, 0.0000, 0.2463) (multiplicity 6)  3 Be 2.69, 3 Cu 2.82
Be (0.0000, 0.0000, 0.5000) (multiplicity 3)  6 Sc 2.69
Cu (0.0000, 0.0000, 0.0000) (multiplicity 3)  6 Sc 2.82